Record 1
# Tm6Cu2Sn (PBE, relaxed)
data_Tm6Cu2Sn
_chemical_formula_sum 'Tm24 Cu8 Sn4'
_cell_length_a 9.255
_cell_length_b 9.646
_cell_length_c 10.180
_cell_angle_alpha 90.00
_cell_angle_beta 90.00
_cell_angle_gamma 90.00
_symmetry_space_group_name_H-M 'I m m m'
_symmetry_Int_Tables_number 71
_symmetry_space_group_name_Hall '-I 2 2'
loop_
_atom_site_label
_atom_site_type_symbol
_atom_site_fract_x
_atom_site_fract_y
_atom_site_fract_z
_atom_site_occupancy
Tm1 Tm 0.000 0.201 0.236 1
Tm2 Tm 0.193 0.500 0.178 1
Tm3 Tm 0.215 0.314 0.500 1
Cu1 Cu 0.000 0.350 0.000 1
Cu2 Cu 0.000 0.500 0.380 1
Sn1 Sn 0.000 0.000 0.000 1
Sn2 Sn 0.000 0.000 0.500 1
# ΔH_f (0 K)   -311 meV per atom
# Mass density   9.2 g/cm³
# DOS at the Fermi energy   26.6 states/eV per cell
# Calculated total energy   -4.6470 eV/atom
# Size of the total moment   0.000 μB/atom

Record 2
# Tm3Cu6Sn5 (PBE, relaxed)
data_Tm3Cu6Sn5
_chemical_formula_sum 'Tm6 Cu12 Sn10'
_cell_length_a 4.305
_cell_length_b 9.928
_cell_length_c 12.664
_cell_angle_alpha 90.00
_cell_angle_beta 90.00
_cell_angle_gamma 90.00
_symmetry_space_group_name_H-M 'I m m m'
_symmetry_Int_Tables_number 71
_symmetry_space_group_name_Hall '-I 2 2'
loop_
_atom_site_label
_atom_site_type_symbol
_atom_site_fract_x
_atom_site_fract_y
_atom_site_fract_z
_atom_site_occupancy
Tm1 Tm 0.000 0.000 0.000 1
Tm2 Tm 0.000 0.000 0.310 1
Cu1 Cu 0.000 0.187 0.500 1
Cu2 Cu 0.000 0.287 0.126 1
Sn1 Sn 0.000 0.353 0.337 1
Sn2 Sn 0.000 0.500 0.000 1
# ΔH_f (0 K)   -361 meV per atom
# Mass density   9.1 g/cm³
# DOS at the Fermi energy   7.6 states/eV per cell
# Calculated total energy   -4.5040 eV/atom
# Size of the total moment   0.000 μB/atom

Record 3
# Tm5CuSn (PBE, relaxed)
data_Tm5CuSn
_chemical_formula_sum 'Tm20 Cu4 Sn4'
_cell_length_a 11.135
_cell_length_b 6.476
_cell_length_c 11.013
_cell_angle_alpha 90.00
_cell_angle_beta 104.73
_cell_angle_gamma 90.00
_symmetry_space_group_name_H-M 'C 1 2/c 1'
_symmetry_Int_Tables_number 15
loop_
_symmetry_equiv_pos_as_xyz
'x,y,z'
'-x,-y,-z'
'-x,y,-z+1/2'
'x,-y,z+1/2'
'x+1/2,y+1/2,z'
'-x+1/2,-y+1/2,-z'
'-x+1/2,y+1/2,-z+1/2'
'x+1/2,-y+1/2,z+1/2'
loop_
_atom_site_label
_atom_site_type_symbol
_atom_site_fract_x
_atom_site_fract_y
_atom_site_fract_z
_atom_site_occupancy
Tm1 Tm 0.000 0.062 0.250 1
Tm2 Tm 0.127 0.352 0.044 1
Tm3 Tm 0.225 0.161 0.646 1
Cu1 Cu 0.000 0.000 0.000 1
Sn1 Sn 0.000 0.435 0.750 1
# ΔH_f (0 K)   -126 meV per atom
# Mass density   8.9 g/cm³
# DOS at the Fermi energy   33.8 states/eV per cell
# Calculated total energy   -4.4769 eV/atom
# Size of the total moment   0.000 μB/atom

Record 4
# TmCuSn (PBE, relaxed)
data_TmCuSn
_chemical_formula_sum 'Tm2 Cu2 Sn2'
_cell_length_a 3.360
_cell_length_b 3.360
_cell_length_c 11.327
_cell_angle_alpha 90.00
_cell_angle_beta 90.00
_cell_angle_gamma 90.00
_symmetry_space_group_name_H-M 'I 4 m m'
_symmetry_Int_Tables_number 107
_symmetry_space_group_name_Hall 'I 4 -2'
loop_
_atom_site_label
_atom_site_type_symbol
_atom_site_fract_x
_atom_site_fract_y
_atom_site_fract_z
_atom_site_occupancy
Tm1 Tm 0.000 0.000 0.000 1
Cu1 Cu 0.000 0.000 0.647 1
Sn1 Sn 0.000 0.000 0.293 1
# ΔH_f (0 K)   -275 meV per atom
# Mass density   9.1 g/cm³
# DOS at the Fermi energy   2.6 states/eV per cell
# Calculated total energy   -4.4648 eV/atom
# Size of the total moment   0.000 μB/atom

Record 5
# Tm2CuSn (PBE, relaxed)
data_Tm2CuSn
_chemical_formula_sum 'Tm4 Cu2 Sn2'
_cell_length_a 6.007
_cell_length_b 4.334
_cell_length_c 7.830
_cell_angle_alpha 90.00
_cell_angle_beta 110.59
_cell_angle_gamma 90.00
_symmetry_space_group_name_H-M 'P 1 21/m 1'
_symmetry_Int_Tables_number 11
loop_
_symmetry_equiv_pos_as_xyz
'x,y,z'
'-x,-y,-z'
'-x,y+1/2,-z'
'x,-y+1/2,z'
loop_
_atom_site_label
_atom_site_type_symbol
_atom_site_fract_x
_atom_site_fract_y
_atom_site_fract_z
_atom_site_occupancy
Tm1 Tm 0.194 0.250 0.440 1
Tm2 Tm 0.217 0.250 0.909 1
Cu1 Cu 0.350 0.750 0.708 1
Sn1 Sn 0.336 0.750 0.213 1
# ΔH_f (0 K)   -482 meV per atom
# Mass density   9.1 g/cm³
# DOS at the Fermi energy   6.5 states/eV per cell
# Calculated total energy   -4.7422 eV/atom
# Size of the total moment   0.000 μB/atom

Record 6
# Tm12Cu6Sn (PBE, relaxed)
data_Tm12Cu6Sn
_chemical_formula_sum 'Tm24 Cu12 Sn2'
_cell_length_a 9.709
_cell_length_b 9.709
_cell_length_c 9.709
_cell_angle_alpha 90.00
_cell_angle_beta 90.00
_cell_angle_gamma 90.00
_symmetry_space_group_name_H-M 'I m -3'
_symmetry_Int_Tables_number 204
_symmetry_space_group_name_Hall '-I 2 2 3'
loop_
_atom_site_label
_atom_site_type_symbol
_atom_site_fract_x
_atom_site_fract_y
_atom_site_fract_z
_atom_site_occupancy
Tm1 Tm 0.000 0.298 0.189 1
Cu1 Cu 0.000 0.125 0.500 1
Sn1 Sn 0.000 0.000 0.000 1
# ΔH_f (0 K)   -258 meV per atom
# Mass density   9.2 g/cm³
# DOS at the Fermi energy   25.5 states/eV per cell
# Calculated total energy   -4.5865 eV/atom
# Size of the total moment   0.000 μB/atom

Record 7
# TmCuSn (PBE, relaxed)
data_TmCuSn
_chemical_formula_sum 'Tm4 Cu4 Sn4'
_cell_length_a 4.256
_cell_length_b 4.256
_cell_length_c 14.328
_cell_angle_alpha 90.00
_cell_angle_beta 90.00
_cell_angle_gamma 90.00
_symmetry_space_group_name_H-M 'I 4/m m m'
_symmetry_Int_Tables_number 139
_symmetry_space_group_name_Hall '-I 4 2'
loop_
_atom_site_label
_atom_site_type_symbol
_atom_site_fract_x
_atom_site_fract_y
_atom_site_fract_z
_atom_site_occupancy
Tm1 Tm 0.000 0.000 0.161 1
Cu1 Cu 0.000 0.500 0.000 1
Sn1 Sn 0.000 0.000 0.380 1
# ΔH_f (0 K)   -405 meV per atom
# Mass density   9.0 g/cm³
# DOS at the Fermi energy   8.0 states/eV per cell
# Calculated total energy   -4.5950 eV/atom
# Size of the total moment   0.000 μB/atom

Record 8
# Tm3CuSn2 (PBE, relaxed)
data_Tm3CuSn2
_chemical_formula_sum 'Tm12 Cu4 Sn8'
_cell_length_a 15.324
_cell_length_b 6.170
_cell_length_c 6.376
_cell_angle_alpha 90.00
_cell_angle_beta 103.35
_cell_angle_gamma 90.00
_symmetry_space_group_name_H-M 'C 1 2/c 1'
_symmetry_Int_Tables_number 15
loop_
_symmetry_equiv_pos_as_xyz
'x,y,z'
'-x,-y,-z'
'-x,y,-z+1/2'
'x,-y,z+1/2'
'x+1/2,y+1/2,z'
'-x+1/2,-y+1/2,-z'
'-x+1/2,y+1/2,-z+1/2'
'x+1/2,-y+1/2,z+1/2'
loop_
_atom_site_label
_atom_site_type_symbol
_atom_site_fract_x
_atom_site_fract_y
_atom_site_fract_z
_atom_site_occupancy
Tm1 Tm 0.000 0.170 0.250 1
Tm2 Tm 0.166 0.403 0.604 1
Cu1 Cu 0.000 0.362 0.750 1
Sn1 Sn 0.157 0.096 0.037 1
# ΔH_f (0 K)   -405 meV per atom
# Mass density   9.1 g/cm³
# DOS at the Fermi energy   15.6 states/eV per cell
# Calculated total energy   -4.6574 eV/atom
# Size of the total moment   0.000 μB/atom

Record 9
# Tm3Cu3Sn4 (PBE, relaxed)
data_Tm3Cu3Sn4
_chemical_formula_sum 'Tm12 Cu12 Sn16'
_cell_length_a 9.553
_cell_length_b 9.553
_cell_length_c 9.553
_cell_angle_alpha 90.00
_cell_angle_beta 90.00
_cell_angle_gamma 90.00
_symmetry_space_group_name_H-M 'I -4 3 d'
_symmetry_Int_Tables_number 220
_symmetry_space_group_name_Hall 'I -4bd 2c 3'
loop_
_atom_site_label
_atom_site_type_symbol
_atom_site_fract_x
_atom_site_fract_y
_atom_site_fract_z
_atom_site_occupancy
Tm1 Tm 0.000 0.250 0.375 1
Cu1 Cu 0.000 0.250 0.875 1
Sn1 Sn 0.077 0.077 0.077 1
# ΔH_f (0 K)   -460 meV per atom
# Mass density   8.9 g/cm³
# DOS at the Fermi energy   21.5 states/eV per cell
# Calculated total energy   -4.6316 eV/atom
# Size of the total moment   0.000 μB/atom

Record 10
# Tm3CuSn3 (PBE, relaxed)
data_Tm3CuSn3
_chemical_formula_sum 'Tm12 Cu4 Sn12'
_cell_length_a 11.095
_cell_length_b 4.421
_cell_length_c 14.670
_cell_angle_alpha 90.00
_cell_angle_beta 109.01
_cell_angle_gamma 90.00
_symmetry_space_group_name_H-M 'C 1 2/m 1'
_symmetry_Int_Tables_number 12
loop_
_symmetry_equiv_pos_as_xyz
'x,y,z'
'-x,-y,-z'
'-x,y,-z'
'x,-y,z'
'x+1/2,y+1/2,z'
'-x+1/2,-y+1/2,-z'
'-x+1/2,y+1/2,-z'
'x+1/2,-y+1/2,z'
loop_
_atom_site_label
_atom_site_type_symbol
_atom_site_fract_x
_atom_site_fract_y
_atom_site_fract_z
_atom_site_occupancy
Tm1 Tm 0.028 0.000 0.383 1
Tm2 Tm 0.095 0.000 0.921 1
Tm3 Tm 0.236 0.000 0.231 1
Cu1 Cu 0.231 0.500 0.386 1
Sn1 Sn 0.019 0.500 0.235 1
Sn2 Sn 0.132 0.500 0.076 1
Sn3 Sn 0.147 0.500 0.546 1
# ΔH_f (0 K)   -592 meV per atom
# Mass density   9.0 g/cm³
# DOS at the Fermi energy   15.7 states/eV per cell
# Calculated total energy   -4.8093 eV/atom
# Size of the total moment   0.000 μB/atom